1.
DFT (PBE) results for an optimized crystal structure of FeTc2Pb.

```
FeTc2Pb
1.0
4.0463 0.0000 0.0000
0.0000 4.0463 0.0000
0.0000 0.0000 7.7947
Fe Tc Pb
2 4 2
Direct
0.0000 0.0000 0.0000
0.5000 0.5000 0.5000
0.0000 0.0000 0.5000
0.0000 0.5000 0.2500
0.5000 0.0000 0.7500
0.5000 0.5000 0.0000
0.0000 0.5000 0.7500
0.5000 0.0000 0.2500
```

Values from the calculation:
* calculated total energy: -7.6589 eV per atom
* energy relative to the elements: 2.3 eV per formula unit

=====

2.
DFT (PBE) results for an optimized crystal structure of FeTcPb4.

```
FeTcPb4
1.0
0.0000 4.4143 4.4143
4.4143 0.0000 4.4143
4.4143 4.4143 0.0000
Fe Tc Pb
1 1 4
Direct
0.0000 0.0000 0.0000
0.2500 0.2500 0.2500
0.1255 0.6248 0.6248
0.6248 0.1255 0.6248
0.6248 0.6248 0.1255
0.6248 0.6248 0.6248
```

Values from the calculation:
* calculated total energy: -4.3624 eV per atom
* energy relative to the elements: 7.5 eV per formula unit

=====

3.
DFT (PBE) results for an optimized crystal structure of FeTc2Pb.

```
FeTc2Pb
1.0
3.0545 0.0000 0.0000
0.0000 3.0545 0.0000
0.0000 0.0000 7.2392
Fe Tc Pb
1 2 1
Direct
0.0000 0.0000 0.0000
0.0000 0.0000 0.5847
0.5000 0.5000 0.7845
0.5000 0.5000 0.2797
```

Values from the calculation:
* calculated total energy: -7.7689 eV per atom
* energy relative to the elements: 1.8 eV per formula unit

=====

4.
DFT (PBE) results for an optimized crystal structure of FeTcPb.

```
FeTcPb
1.0
5.9590 0.0000 0.0000
0.0000 5.9590 0.0000
0.0000 0.0000 5.9590
Fe Tc Pb
4 4 4
Direct
0.0000 0.0000 0.0000
0.0000 0.5000 0.5000
0.5000 0.0000 0.5000
0.5000 0.5000 0.0000
0.2500 0.2500 0.2500
0.2500 0.7500 0.7500
0.7500 0.2500 0.7500
0.7500 0.7500 0.2500
0.2500 0.2500 0.7500
0.2500 0.7500 0.2500
0.7500 0.2500 0.2500
0.7500 0.7500 0.7500
```

Values from the calculation:
* calculated total energy: -6.8935 eV per atom
* excess energy over the best structure of this formula in the dataset: 54 meV/atom
* energy relative to the elements: 1.9 eV per formula unit